A geometry-optimized MnSnMo2N structure. Source: Alexandria, functional PBE-GGA.

Cell and atoms, written as POSCAR:
```
MnSnMo2N
1.0
-2.643 -2.178 -2.445
2.262 -3.486 0.660
-2.224 -0.845 3.157
N Mn Mo Sn
1 1 2 1
Direct
0.000 0.000 0.000
0.000 0.000 0.500
0.500 0.000 0.000
0.000 0.500 0.000
0.500 0.500 0.500
```

Values from the calculation:
Uncorrected formation energy = -11.5 kJ per mole of atoms